5
Lattice="4.100 0.000 0.000 0.000 4.100 0.000 0.000 0.000 4.100" Properties=species:S:1:pos:R:3 comment="CoTeO3, optimized geometry, DFT PBE+U" total_magnetization_mub_per_cell=2.218 dft_energy_ev_per_cell=-24.572 pbc="T T T"
Co 0.000 0.000 0.000
Te 2.050 2.050 2.050
O 0.000 2.050 2.050
O 2.050 0.000 2.050
O 2.050 2.050 0.000